(a)
Density functional theory data (GGA-PBE) for crystalline CoAu2Cl at its relaxed geometry.

```
data_CoAu2Cl
_chemical_formula_sum 'Co2 Au4 Cl2'
_space_group_name_H-M_alt 'C 1 2/m 1'
_space_group_IT_number 12
_space_group_name_Hall '-C 2y'
_cell_length_a 5.317
_cell_length_b 11.542
_cell_length_c 3.081
_cell_angle_alpha 90.00
_cell_angle_beta 125.13
_cell_angle_gamma 90.00
loop_
_atom_site_label
_atom_site_fract_x
_atom_site_fract_y
_atom_site_fract_z
Co1 0.000 0.000 0.000
Au1 0.250 0.250 0.500
Cl1 0.000 0.500 0.000
```

Calculated values
As for the total magnetic moment: 2.3 μB/f.u.



(b)
Density functional theory data (GGA-PBE) for crystalline CoAu2Cl at its relaxed geometry.

```
data_CoAu2Cl
_chemical_formula_sum 'Co2 Au4 Cl2'
_space_group_name_H-M_alt 'C m m m'
_space_group_IT_number 65
_space_group_name_Hall '-C 2 2'
_cell_length_a 5.401
_cell_length_b 9.127
_cell_length_c 2.866
_cell_angle_alpha 90.00
_cell_angle_beta 90.00
_cell_angle_gamma 90.00
loop_
_atom_site_label
_atom_site_fract_x
_atom_site_fract_y
_atom_site_fract_z
Co1 0.000 0.000 0.000
Au1 0.250 0.250 0.500
Cl1 0.000 0.500 0.000
```

Calculated values
As for the total magnetic moment: 1.8 μB/f.u.



(c)
Density functional theory data (GGA-PBE) for crystalline CoAu2Cl at its relaxed geometry.

```
data_CoAu2Cl
_chemical_formula_sum 'Co2 Au4 Cl2'
_space_group_name_H-M_alt 'C 1 m 1'
_space_group_IT_number 8
_space_group_name_Hall 'C -2y'
_cell_length_a 9.078
_cell_length_b 3.002
_cell_length_c 6.524
_cell_angle_alpha 90.00
_cell_angle_beta 97.21
_cell_angle_gamma 90.00
loop_
_atom_site_label
_atom_site_fract_x
_atom_site_fract_y
_atom_site_fract_z
Co1 0.000 0.000 0.000
Au1 0.022 0.500 0.664
Au2 0.266 0.000 0.857
Cl1 0.045 0.500 0.262
```

Calculated values
As for the total magnetic moment: 2.2 μB/f.u.



Which one sits at the bottom of the stability order? (b) does.



(a)
Density functional theory data (GGA-PBE) for crystalline CoAu2Cl at its relaxed geometry.

```
data_CoAu2Cl
_chemical_formula_sum 'Co1 Au2 Cl1'
_space_group_name_H-M_alt 'P 1 2/m 1'
_space_group_IT_number 10
_space_group_name_Hall '-P 2y'
_cell_length_a 3.317
_cell_length_b 5.134
_cell_length_c 4.340
_cell_angle_alpha 90.00
_cell_angle_beta 90.96
_cell_angle_gamma 90.00
loop_
_atom_site_label
_atom_site_fract_x
_atom_site_fract_y
_atom_site_fract_z
Co1 0.000 0.000 0.000
Au1 0.243 0.500 0.756
Cl1 0.500 0.000 0.500
```

Calculated values
As for the total magnetic moment: 2.2 μB/f.u.



(b)
Density functional theory data (GGA-PBE) for crystalline CoAu2Cl at its relaxed geometry.

```
data_CoAu2Cl
_chemical_formula_sum 'Co2 Au4 Cl2'
_space_group_name_H-M_alt 'C m m 2'
_space_group_IT_number 35
_space_group_name_Hall 'C 2 -2'
_cell_length_a 3.006
_cell_length_b 5.110
_cell_length_c 9.520
_cell_angle_alpha 90.00
_cell_angle_beta 90.00
_cell_angle_gamma 90.00
loop_
_atom_site_label
_atom_site_fract_x
_atom_site_fract_y
_atom_site_fract_z
Co1 0.000 0.000 0.000
Au1 0.000 0.000 0.511
Au2 0.000 0.500 0.773
Cl1 0.000 0.500 0.173
```

Calculated values
As for the total magnetic moment: 2.0 μB/f.u.



Which one sits at the bottom of the stability order? (a) does.



(a)
Density functional theory data (GGA-PBE) for crystalline CoAu2Cl at its relaxed geometry.

```
data_CoAu2Cl
_chemical_formula_sum 'Co4 Au8 Cl4'
_space_group_name_H-M_alt 'F m -3 m'
_space_group_IT_number 225
_space_group_name_Hall '-F 4 2 3'
_cell_length_a 6.529
_cell_length_b 6.529
_cell_length_c 6.529
_cell_angle_alpha 90.00
_cell_angle_beta 90.00
_cell_angle_gamma 90.00
loop_
_atom_site_label
_atom_site_fract_x
_atom_site_fract_y
_atom_site_fract_z
Co1 0.000 0.000 0.000
Au1 0.250 0.250 0.250
Cl1 0.000 0.000 0.500
```

Calculated values
As for the total magnetic moment: 1.8 μB/f.u.



(b)
Density functional theory data (GGA-PBE) for crystalline CoAu2Cl at its relaxed geometry.

```
data_CoAu2Cl
_chemical_formula_sum 'Co4 Au8 Cl4'
_space_group_name_H-M_alt 'I -4 2 d'
_space_group_IT_number 122
_space_group_name_Hall 'I -4 2bw'
_cell_length_a 8.714
_cell_length_b 8.714
_cell_length_c 4.391
_cell_angle_alpha 90.00
_cell_angle_beta 90.00
_cell_angle_gamma 90.00
loop_
_atom_site_label
_atom_site_fract_x
_atom_site_fract_y
_atom_site_fract_z
Co1 0.000 0.000 0.000
Au1 0.157 0.250 0.125
Cl1 0.000 0.000 0.500
```

Calculated values
As for the total magnetic moment: 2.0 μB/f.u.



Which one sits at the bottom of the stability order? (a) does.



(a)
Density functional theory data (GGA-PBE) for crystalline CoAu2Cl at its relaxed geometry.

```
data_CoAu2Cl
_chemical_formula_sum 'Co3 Au6 Cl3'
_space_group_name_H-M_alt 'R -3 m'
_space_group_IT_number 166
_space_group_name_Hall '-R 3 2"'
_cell_length_a 3.1276
_cell_length_b 3.1276
_cell_length_c 24.7262
_cell_angle_alpha 90.00
_cell_angle_beta 90.00
_cell_angle_gamma 120.00
loop_
_atom_site_label
_atom_site_fract_x
_atom_site_fract_y
_atom_site_fract_z
Co1 0.0000 0.0000 0.0000
Au1 0.0000 0.0000 0.2559
Cl1 0.0000 0.0000 0.5000
```

Calculated values
As for the total magnetic moment: 2.0 μB/f.u.



(b)
Density functional theory data (GGA-PBE) for crystalline CoAu2Cl at its relaxed geometry.

```
data_CoAu2Cl
_chemical_formula_sum 'Co2 Au4 Cl2'
_space_group_name_H-M_alt 'I -4 m 2'
_space_group_IT_number 119
_space_group_name_Hall 'I -4 -2'
_cell_length_a 4.629
_cell_length_b 4.629
_cell_length_c 6.539
_cell_angle_alpha 90.00
_cell_angle_beta 90.00
_cell_angle_gamma 90.00
loop_
_atom_site_label
_atom_site_fract_x
_atom_site_fract_y
_atom_site_fract_z
Co1 0.000 0.000 0.000
Au1 0.000 0.000 0.500
Au2 0.000 0.500 0.250
Cl1 0.000 0.500 0.750
```

Calculated values
As for the total magnetic moment: 1.9 μB/f.u.



Which one sits at the bottom of the stability order? (b) does.



(a)
Density functional theory data (GGA-PBE) for crystalline CoAu2Cl at its relaxed geometry.

```
data_CoAu2Cl
_chemical_formula_sum 'Co1 Au2 Cl1'
_space_group_name_H-M_alt 'P 4 m m'
_space_group_IT_number 99
_space_group_name_Hall 'P 4 -2'
_cell_length_a 2.927
_cell_length_b 2.927
_cell_length_c 8.806
_cell_angle_alpha 90.00
_cell_angle_beta 90.00
_cell_angle_gamma 90.00
loop_
_atom_site_label
_atom_site_fract_x
_atom_site_fract_y
_atom_site_fract_z
Co1 0.000 0.000 0.000
Au1 0.000 0.000 0.454
Au2 0.500 0.500 0.215
Cl1 0.500 0.500 0.849
```

Calculated values
As for the total magnetic moment: 2.3 μB/f.u.



(b)
Density functional theory data (GGA-PBE) for crystalline CoAu2Cl at its relaxed geometry.

```
data_CoAu2Cl
_chemical_formula_sum 'Co2 Au4 Cl2'
_space_group_name_H-M_alt 'I m m m'
_space_group_IT_number 71
_space_group_name_Hall '-I 2 2'
_cell_length_a 2.919
_cell_length_b 4.049
_cell_length_c 12.324
_cell_angle_alpha 90.00
_cell_angle_beta 90.00
_cell_angle_gamma 90.00
loop_
_atom_site_label
_atom_site_fract_x
_atom_site_fract_y
_atom_site_fract_z
Co1 0.000 0.000 0.000
Au1 0.000 0.500 0.306
Cl1 0.000 0.000 0.500
```

Calculated values
As for the total magnetic moment: 2.1 μB/f.u.



(c)
Density functional theory data (GGA-PBE) for crystalline CoAu2Cl at its relaxed geometry.

```
data_CoAu2Cl
_chemical_formula_sum 'Co2 Au4 Cl2'
_space_group_name_H-M_alt 'C m m m'
_space_group_IT_number 65
_space_group_name_Hall '-C 2 2'
_cell_length_a 4.349
_cell_length_b 4.358
_cell_length_c 7.352
_cell_angle_alpha 90.00
_cell_angle_beta 90.00
_cell_angle_gamma 90.00
loop_
_atom_site_label
_atom_site_fract_x
_atom_site_fract_y
_atom_site_fract_z
Co1 0.000 0.000 0.000
Au1 0.000 0.500 0.215
Cl1 0.000 0.000 0.500
```

Calculated values
As for the total magnetic moment: 1.9 μB/f.u.



(d)
Density functional theory data (GGA-PBE) for crystalline CoAu2Cl at its relaxed geometry.

```
data_CoAu2Cl
_chemical_formula_sum 'Co2 Au4 Cl2'
_space_group_name_H-M_alt 'I m m 2'
_space_group_IT_number 44
_space_group_name_Hall 'I 2 -2'
_cell_length_a 2.874
_cell_length_b 4.445
_cell_length_c 12.496
_cell_angle_alpha 90.00
_cell_angle_beta 90.00
_cell_angle_gamma 90.00
loop_
_atom_site_label
_atom_site_fract_x
_atom_site_fract_y
_atom_site_fract_z
Co1 0.000 0.000 0.000
Au1 0.000 0.000 0.555
Au2 0.000 0.500 0.687
Cl1 0.000 0.500 0.356
```

Calculated values
As for the total magnetic moment: 2.1 μB/f.u.



Which one sits at the bottom of the stability order? (c) does.



(a)
Density functional theory data (GGA-PBE) for crystalline CoAu2Cl at its relaxed geometry.

```
data_CoAu2Cl
_chemical_formula_sum 'Co1 Au2 Cl1'
_space_group_name_H-M_alt 'P 1 m 1'
_space_group_IT_number 6
_space_group_name_Hall 'P -2y'
_cell_length_a 3.834
_cell_length_b 3.036
_cell_length_c 6.943
_cell_angle_alpha 90.00
_cell_angle_beta 90.26
_cell_angle_gamma 90.00
loop_
_atom_site_label
_atom_site_fract_x
_atom_site_fract_y
_atom_site_fract_z
Co1 0.000 0.000 0.000
Au1 0.499 0.500 0.834
Au2 0.997 0.000 0.620
Cl1 0.002 0.500 0.247
```

Calculated values
As for the total magnetic moment: 2.1 μB/f.u.



(b)
Density functional theory data (GGA-PBE) for crystalline CoAu2Cl at its relaxed geometry.

```
data_CoAu2Cl
_chemical_formula_sum 'Co2 Au4 Cl2'
_space_group_name_H-M_alt 'I 4/m m m'
_space_group_IT_number 139
_space_group_name_Hall '-I 4 2'
_cell_length_a 3.754
_cell_length_b 3.754
_cell_length_c 11.116
_cell_angle_alpha 90.00
_cell_angle_beta 90.00
_cell_angle_gamma 90.00
loop_
_atom_site_label
_atom_site_fract_x
_atom_site_fract_y
_atom_site_fract_z
Co1 0.000 0.000 0.000
Au1 0.000 0.500 0.250
Cl1 0.000 0.000 0.500
```

Calculated values
As for the total magnetic moment: 2.3 μB/f.u.



Which one sits at the bottom of the stability order? (b) does.